No. 1
First-principles (GGA-PBE) data for KMoW2 after structural relaxation, as listed in the Alexandria database.

Values from the calculation:
For the energy above the most stable polymorph in this dataset, the calculation gives 730 meV per atom. The symmetry is No. 44.

CIF file:
```
data_KMoW2
_symmetry_space_group_name_H-M 'P 1'
_symmetry_Int_Tables_number 1
_symmetry_space_group_name_Hall 'P 1'
_cell_length_a 6.078
_cell_length_b 6.078
_cell_length_c 6.078
_cell_angle_alpha 152.80
_cell_angle_beta 125.74
_cell_angle_gamma 61.73
loop_
_atom_site_label
_atom_site_type_symbol
_atom_site_fract_x
_atom_site_fract_y
_atom_site_fract_z
_atom_site_occupancy
K1 K 0.000 0.000 0.000 1
Mo1 Mo 0.710 0.210 0.500 1
W1 W 0.294 0.794 0.500 1
W2 W 0.502 0.502 0.000 1
```

---

No. 2
First-principles (GGA-PBE) data for KMoW after structural relaxation, as listed in the Alexandria database.

Values from the calculation:
For the energy above the most stable polymorph in this dataset, the calculation gives 179 meV per atom. The symmetry is No. 156.

CIF file:
```
data_KMoW
_symmetry_space_group_name_H-M 'P 1'
_symmetry_Int_Tables_number 1
_symmetry_space_group_name_Hall 'P 1'
_cell_length_a 2.817
_cell_length_b 2.817
_cell_length_c 8.739
_cell_angle_alpha 90.00
_cell_angle_beta 90.00
_cell_angle_gamma 120.00
loop_
_atom_site_label
_atom_site_type_symbol
_atom_site_fract_x
_atom_site_fract_y
_atom_site_fract_z
_atom_site_occupancy
K1 K 0.000 0.000 0.000 1
Mo1 Mo 0.667 0.333 0.364 1
W1 W 0.333 0.667 0.639 1
```

---

No. 3
First-principles (GGA-PBE) data for KMoW2 after structural relaxation, as listed in the Alexandria database.

Values from the calculation:
For the energy above the most stable polymorph in this dataset, the calculation gives 868 meV per atom. The symmetry is No. 216.

CIF file:
```
data_KMoW2
_symmetry_space_group_name_H-M 'P 1'
_symmetry_Int_Tables_number 1
_symmetry_space_group_name_Hall 'P 1'
_cell_length_a 4.671
_cell_length_b 4.671
_cell_length_c 4.671
_cell_angle_alpha 60.00
_cell_angle_beta 60.00
_cell_angle_gamma 60.00
loop_
_atom_site_label
_atom_site_type_symbol
_atom_site_fract_x
_atom_site_fract_y
_atom_site_fract_z
_atom_site_occupancy
K1 K 0.000 0.000 0.000 1
Mo1 Mo 0.250 0.250 0.250 1
W1 W 0.500 0.500 0.500 1
W2 W 0.750 0.750 0.750 1
```

---

No. 4
First-principles (GGA-PBE) data for K4MoW after structural relaxation, as listed in the Alexandria database.

Values from the calculation:
The symmetry is No. 216. The calculation puts the total energy at -2.712 eV/atom.

CIF file:
```
data_K4MoW
_symmetry_space_group_name_H-M 'P 1'
_symmetry_Int_Tables_number 1
_symmetry_space_group_name_Hall 'P 1'
_cell_length_a 7.049
_cell_length_b 7.049
_cell_length_c 7.049
_cell_angle_alpha 60.00
_cell_angle_beta 60.00
_cell_angle_gamma 60.00
loop_
_atom_site_label
_atom_site_type_symbol
_atom_site_fract_x
_atom_site_fract_y
_atom_site_fract_z
_atom_site_occupancy
K1 K 0.125 0.125 0.125 1
K2 K 0.125 0.125 0.624 1
K3 K 0.125 0.624 0.125 1
K4 K 0.624 0.125 0.125 1
Mo1 Mo 0.750 0.750 0.750 1
W1 W 0.500 0.500 0.500 1
```

---

No. 5
First-principles (GGA-PBE) data for KMoW3 after structural relaxation, as listed in the Alexandria database.

Values from the calculation:
For the energy above the most stable polymorph in this dataset, the calculation gives 1410 meV per atom. The symmetry is No. 221.

CIF file:
```
data_KMoW3
_symmetry_space_group_name_H-M 'P 1'
_symmetry_Int_Tables_number 1
_symmetry_space_group_name_Hall 'P 1'
_cell_length_a 4.462
_cell_length_b 4.462
_cell_length_c 4.462
_cell_angle_alpha 90.00
_cell_angle_beta 90.00
_cell_angle_gamma 90.00
loop_
_atom_site_label
_atom_site_type_symbol
_atom_site_fract_x
_atom_site_fract_y
_atom_site_fract_z
_atom_site_occupancy
K1 K 0.000 0.000 0.000 1
Mo1 Mo 0.500 0.500 0.500 1
W1 W 0.000 0.000 0.500 1
W2 W 0.000 0.500 0.000 1
W3 W 0.500 0.000 0.000 1
```

---

No. 6
First-principles (GGA-PBE) data for KMoW2 after structural relaxation, as listed in the Alexandria database.

Values from the calculation:
For the energy above the most stable polymorph in this dataset, the calculation gives 16 meV per atom. The symmetry is No. 65.

CIF file:
```
data_KMoW2
_symmetry_space_group_name_H-M 'P 1'
_symmetry_Int_Tables_number 1
_symmetry_space_group_name_Hall 'P 1'
_cell_length_a 2.788
_cell_length_b 2.788
_cell_length_c 10.652
_cell_angle_alpha 90.00
_cell_angle_beta 90.00
_cell_angle_gamma 111.03
loop_
_atom_site_label
_atom_site_type_symbol
_atom_site_fract_x
_atom_site_fract_y
_atom_site_fract_z
_atom_site_occupancy
K1 K 0.000 0.000 0.000 1
Mo1 Mo 0.000 0.000 0.500 1
W1 W 0.500 0.500 0.295 1
W2 W 0.500 0.500 0.705 1
```

---

No. 7
First-principles (GGA-PBE) data for KMoW2 after structural relaxation, as listed in the Alexandria database.

Values from the calculation:
For the energy above the most stable polymorph in this dataset, the calculation gives 1214 meV per atom. The symmetry is No. 123.

CIF file:
```
data_KMoW2
_symmetry_space_group_name_H-M 'P 1'
_symmetry_Int_Tables_number 1
_symmetry_space_group_name_Hall 'P 1'
_cell_length_a 3.901
_cell_length_b 3.901
_cell_length_c 4.939
_cell_angle_alpha 90.00
_cell_angle_beta 90.00
_cell_angle_gamma 90.00
loop_
_atom_site_label
_atom_site_type_symbol
_atom_site_fract_x
_atom_site_fract_y
_atom_site_fract_z
_atom_site_occupancy
K1 K 0.000 0.000 0.000 1
Mo1 Mo 0.500 0.500 0.000 1
W1 W 0.000 0.500 0.500 1
W2 W 0.500 0.000 0.500 1
```

---

No. 8
First-principles (GGA-PBE) data for KMoW2 after structural relaxation, as listed in the Alexandria database.

Values from the calculation:
For the energy above the most stable polymorph in this dataset, the calculation gives 227 meV per atom. The symmetry is No. 99.

CIF file:
```
data_KMoW2
_symmetry_space_group_name_H-M 'P 1'
_symmetry_Int_Tables_number 1
_symmetry_space_group_name_Hall 'P 1'
_cell_length_a 3.092
_cell_length_b 3.092
_cell_length_c 9.379
_cell_angle_alpha 90.00
_cell_angle_beta 90.00
_cell_angle_gamma 90.00
loop_
_atom_site_label
_atom_site_type_symbol
_atom_site_fract_x
_atom_site_fract_y
_atom_site_fract_z
_atom_site_occupancy
K1 K 0.000 0.000 0.000 1
Mo1 Mo 0.500 0.500 0.338 1
W1 W 0.000 0.000 0.502 1
W2 W 0.500 0.500 0.669 1
```

---

No. 9
First-principles (GGA-PBE) data for K2MoW after structural relaxation, as listed in the Alexandria database.

Values from the calculation:
For the energy above the most stable polymorph in this dataset, the calculation gives 727 meV per atom. The symmetry is No. 65.

CIF file:
```
data_K2MoW
_symmetry_space_group_name_H-M 'P 1'
_symmetry_Int_Tables_number 1
_symmetry_space_group_name_Hall 'P 1'
_cell_length_a 6.748
_cell_length_b 6.748
_cell_length_c 2.723
_cell_angle_alpha 90.00
_cell_angle_beta 90.00
_cell_angle_gamma 132.57
loop_
_atom_site_label
_atom_site_type_symbol
_atom_site_fract_x
_atom_site_fract_y
_atom_site_fract_z
_atom_site_occupancy
K1 K 0.000 0.500 0.000 1
K2 K 0.500 0.000 0.000 1
Mo1 Mo 0.000 0.000 0.500 1
W1 W 0.500 0.500 0.500 1
```

---

No. 10
First-principles (GGA-PBE) data for KMoW2 after structural relaxation, as listed in the Alexandria database.

Values from the calculation:
For the energy above the most stable polymorph in this dataset, the calculation gives 974 meV per atom. The symmetry is No. 225.

CIF file:
```
data_KMoW2
_symmetry_space_group_name_H-M 'P 1'
_symmetry_Int_Tables_number 1
_symmetry_space_group_name_Hall 'P 1'
_cell_length_a 4.668
_cell_length_b 4.668
_cell_length_c 4.668
_cell_angle_alpha 60.00
_cell_angle_beta 60.00
_cell_angle_gamma 60.00
loop_
_atom_site_label
_atom_site_type_symbol
_atom_site_fract_x
_atom_site_fract_y
_atom_site_fract_z
_atom_site_occupancy
K1 K 0.000 0.000 0.000 1
Mo1 Mo 0.500 0.500 0.500 1
W1 W 0.250 0.250 0.250 1
W2 W 0.750 0.750 0.750 1
```

---

No. 11
First-principles (GGA-PBE) data for K2MoW after structural relaxation, as listed in the Alexandria database.

Values from the calculation:
For the energy above the most stable polymorph in this dataset, the calculation gives 982 meV per atom. The symmetry is No. 122.

CIF file:
```
data_K2MoW
_symmetry_space_group_name_H-M 'P 1'
_symmetry_Int_Tables_number 1
_symmetry_space_group_name_Hall 'P 1'
_cell_length_a 9.389
_cell_length_b 9.389
_cell_length_c 9.389
_cell_angle_alpha 93.41
_cell_angle_beta 93.41
_cell_angle_gamma 151.75
loop_
_atom_site_label
_atom_site_type_symbol
_atom_site_fract_x
_atom_site_fract_y
_atom_site_fract_z
_atom_site_occupancy
K1 K 0.375 0.047 0.172 1
K2 K 0.797 0.625 0.672 1
K3 K 0.875 0.203 0.828 1
K4 K 0.953 0.125 0.328 1
Mo1 Mo 0.000 0.000 0.000 1
Mo2 Mo 0.750 0.250 0.500 1
W1 W 0.250 0.750 0.500 1
W2 W 0.500 0.500 0.000 1
```

---

No. 12
First-principles (GGA-PBE) data for KMoW2 after structural relaxation, as listed in the Alexandria database.

Values from the calculation:
For the energy above the most stable polymorph in this dataset, the calculation gives 796 meV per atom. The symmetry is No. 65.

CIF file:
```
data_KMoW2
_symmetry_space_group_name_H-M 'P 1'
_symmetry_Int_Tables_number 1
_symmetry_space_group_name_Hall 'P 1'
_cell_length_a 5.769
_cell_length_b 5.769
_cell_length_c 2.634
_cell_angle_alpha 90.00
_cell_angle_beta 90.00
_cell_angle_gamma 122.11
loop_
_atom_site_label
_atom_site_type_symbol
_atom_site_fract_x
_atom_site_fract_y
_atom_site_fract_z
_atom_site_occupancy
K1 K 0.000 0.000 0.000 1
Mo1 Mo 0.500 0.500 0.000 1
W1 W 0.000 0.500 0.500 1
W2 W 0.500 0.000 0.500 1
```

---

Density of states at the Fermi level, respectively: 5.11, 2.40, 3.38, 4.06, 7.63, 3.36, 4.13, 5.44, 6.12, 3.62, 5.12, 3.84 states/eV/f.u..
Volume, respectively: 82.7, 60.0, 72.1, 247.7, 88.9, 77.3, 75.1, 89.7, 91.3, 71.9, 379.9, 74.2 Å³ per cell.